{
  "formula": "Be2MoW",
  "functional": "meta-GGA SCAN",
  "state": "single point on PBEsol structure",
  "lattice_angstrom": [[3.438, 0.000, 0.000], [0.000, 3.478, 0.000], [0.000, 0.000, 4.021]],
  "species": ["Be", "Be", "Mo", "W"],
  "fractional_positions": [[0.000, 0.000, 0.000], [0.500, 0.000, 0.500], [0.500, 0.500, 0.000], [0.000, 0.500, 0.500]],
  "relative_energy_ev_per_fu": 1.32,
  "formation_energy_kj_per_mol_atoms": 11.9
}


{
  "formula": "Be4MoW",
  "functional": "meta-GGA SCAN",
  "state": "single point on PBEsol structure",
  "lattice_angstrom": [[4.428, 0.000, 0.000], [2.214, 3.835, 0.000], [2.214, 1.278, 3.616]],
  "species": ["Be", "Be", "Be", "Be", "Mo", "W"],
  "fractional_positions": [[0.625, 0.625, 0.125], [0.125, 0.625, 0.625], [0.625, 0.125, 0.625], [0.625, 0.625, 0.625], [0.250, 0.250, 0.250], [0.000, 0.000, 0.000]],
  "formation_energy_kj_per_mol_atoms": -30.8
}


{
  "formula": "BeMoW",
  "functional": "meta-GGA SCAN",
  "state": "single point on PBEsol structure",
  "lattice_angstrom": [[-2.803, -0.504, 2.675], [-1.527, -3.548, 0.585], [0.776, -1.941, 3.301]],
  "species": ["Be", "Mo", "W"],
  "fractional_positions": [[0.250, 0.250, 0.250], [0.000, 0.000, 0.000], [0.500, 0.500, 0.500]],
  "formation_energy_kj_per_mol_atoms": 63.4
}


{
  "formula": "BeMoW2",
  "functional": "meta-GGA SCAN",
  "state": "single point on PBEsol structure",
  "lattice_angstrom": [[3.171, 0.000, 0.000], [0.000, 4.269, 0.000], [-1.585, -2.135, 4.222]],
  "species": ["Be", "Mo", "W", "W"],
  "fractional_positions": [[0.000, 0.500, 0.000], [0.500, 0.000, 0.000], [0.754, 0.754, 0.508], [0.246, 0.246, 0.492]],
  "formation_energy_kj_per_mol_atoms": 19.3
}